No. 1
Entry from the Alexandria database: AsRuO3 after structural relaxation (GGA-PBE).

Lattice parameters (Å, degrees): 3.825 3.825 3.825 90.00 90.00 90.00
Each line ends with the local moment (μB).
Fractional positions:
1 Ru 0.500 0.500 0.500  3.16
2 As 0.000 0.000 0.000  0.00
3 O 0.000 0.500 0.000  0.18
4 O 0.000 0.000 0.500  0.13
5 O 0.500 0.000 0.000  0.13

Properties
Space-group type = Pm-3m (221)
Energy relative to the elements, uncorrected = 0.02 eV/f.u.


No. 2
Entry from the Alexandria database: ScAs2RuO after structural relaxation (GGA-PBE).

Lattice parameters (Å, degrees): 4.547 5.219 4.547 90.00 90.00 90.00
Fractional positions:
1 Sc 0.000 0.500 0.000
2 Ru 0.000 0.000 0.000
3 As 0.000 0.000 0.500
4 As 0.500 0.000 0.000
5 O 0.500 0.500 0.500

Properties
Space-group type = P4/mmm (123)
Energy relative to the elements, uncorrected = 0.80 eV/f.u.


No. 3
Entry from the Alexandria database: As2RuSeO after structural relaxation (GGA-PBE).

Lattice parameters (Å, degrees): 4.244 4.244 4.431 90.00 90.00 90.00
Fractional positions:
1 Ru 0.500 0.500 0.500
2 As 0.000 0.500 0.000
3 As 0.500 0.000 0.000
4 O 0.000 0.000 0.000
5 Se 0.000 0.000 0.500

Properties
Space-group type = P4/mmm (123)
Energy relative to the elements, uncorrected = 2.47 eV/f.u.
ΔE to the lowest computed polymorph = 0.000 eV per atom


No. 4
Entry from the Alexandria database: As2RuSeO after structural relaxation (GGA-PBE).

Lattice parameters (Å, degrees): 4.767 4.767 4.702 90.00 90.00 90.00
Fractional positions:
1 Ru 0.000 0.000 0.000
2 As 0.000 0.500 0.000
3 As 0.500 0.000 0.000
4 O 0.500 0.500 0.500
5 Se 0.000 0.000 0.500

Properties
Space-group type = P4/mmm (123)
Energy relative to the elements, uncorrected = 4.37 eV/f.u.
ΔE to the lowest computed polymorph = 0.380 eV per atom


No. 5
Entry from the Alexandria database: SmAs2RuO8 after structural relaxation (GGA-PBE).

Lattice parameters (Å, degrees): 5.470 5.470 6.720 90.00 90.00 120.00
Each line ends with the local moment (μB).
Fractional positions:
1 Sm 0.000 0.000 0.500  0.01
2 As 0.667 0.333 0.274  -0.01
3 As 0.333 0.667 0.726  -0.01
4 Ru 0.000 0.000 0.000  0.79
5 O 0.843 0.157 0.209  0.02
6 O 0.843 0.686 0.209  0.02
7 O 0.314 0.157 0.209  0.02
8 O 0.686 0.843 0.791  0.02
9 O 0.333 0.667 0.475  0.00
10 O 0.667 0.333 0.525  0.00
11 O 0.157 0.843 0.791  0.02
12 O 0.157 0.314 0.791  0.02

Properties
Space-group type = P-3m1 (164)
Energy relative to the elements, uncorrected = -17.69 eV/f.u.


No. 6
Entry from the Alexandria database: SrAs2RuO after structural relaxation (GGA-PBE).

Lattice parameters (Å, degrees): 4.435 4.634 4.435 90.00 90.00 90.00
Fractional positions:
1 Ru 0.500 0.500 0.500
2 As 0.000 0.000 0.500
3 As 0.500 0.000 0.000
4 O 0.000 0.000 0.000
5 Sr 0.000 0.500 0.000

Properties
Space-group type = P4/mmm (123)
Energy relative to the elements, uncorrected = -0.26 eV/f.u.


No. 7
Entry from the Alexandria database: TlAsRuO6 after structural relaxation (GGA-PBE).

Lattice parameters (Å, degrees): 5.148 5.148 4.914 90.00 90.00 60.00
Each line ends with the local moment (μB).
Fractional positions:
1 Tl 0.000 0.000 0.000  -0.04
2 As 0.333 0.333 0.500  0.01
3 Ru 0.667 0.667 0.500  1.41
4 O 0.014 0.369 0.284  0.09
5 O 0.369 0.014 0.716  0.09
6 O 0.618 0.369 0.716  0.09
7 O 0.014 0.618 0.716  0.09
8 O 0.369 0.618 0.284  0.09
9 O 0.618 0.014 0.284  0.09

Properties
Space-group type = P312 (149)
Energy relative to the elements, uncorrected = -8.63 eV/f.u.


No. 8
Entry from the Alexandria database: TlAs2RuO8 after structural relaxation (GGA-PBE).

Lattice parameters (Å, degrees): 5.030 5.030 8.273 86.08 86.08 66.05
Each line ends with the local moment (μB).
Fractional positions:
1 Tl 0.000 0.000 0.500  0.02
2 As 0.631 0.631 0.196  0.01
3 As 0.369 0.369 0.804  0.01
4 Ru 0.000 0.000 0.000  1.61
5 O 0.748 0.242 0.827  0.09
6 O 0.767 0.767 0.024  0.11
7 O 0.691 0.691 0.382  0.04
8 O 0.309 0.309 0.618  0.04
9 O 0.233 0.233 0.976  0.11
10 O 0.242 0.748 0.827  0.09
11 O 0.758 0.252 0.173  0.09
12 O 0.252 0.758 0.173  0.09

Properties
Space-group type = C2/m (12)
Energy relative to the elements, uncorrected = -11.91 eV/f.u.


Please write out number 6 again, unchanged.
Entry from the Alexandria database: SrAs2RuO after structural relaxation (GGA-PBE).

Lattice parameters (Å, degrees): 4.435 4.634 4.435 90.00 90.00 90.00
Fractional positions:
1 Ru 0.500 0.500 0.500
2 As 0.000 0.000 0.500
3 As 0.500 0.000 0.000
4 O 0.000 0.000 0.000
5 Sr 0.000 0.500 0.000

Properties
Space-group type = P4/mmm (123)
Energy relative to the elements, uncorrected = -0.26 eV/f.u.